No. 1
Density functional theory data (PBE-GGA) for a geometry-optimized Cu2IrPb structure.

```
Cu2IrPb
1.0
3.950 0.000 0.000
0.000 3.950 0.000
0.000 0.000 8.167
Cu Ir Pb
4 2 2
Direct
0.000 0.500 0.250 Cu
0.000 0.500 0.750 Cu
0.500 0.000 0.250 Cu
0.500 0.000 0.750 Cu
0.000 0.000 0.000 Ir
0.500 0.500 0.500 Ir
0.000 0.000 0.500 Pb
0.500 0.500 0.000 Pb
```

As for the total DFT energy (no corrections): -0.3559 Ry/atom. The energy of formation is 0.348 eV per atom. Its size of the total moment is 0.00 μB per formula unit.


No. 2
Density functional theory data (PBE-GGA) for a geometry-optimized Ca3TmPa2N6 structure.

```
Ca3TmPa2N6
1.0
3.046 -5.275 0.000
3.046 5.275 0.000
-2.028 0.000 5.702
Ca Tm Pa N
3 1 2 6
Direct
0.000 0.000 0.000 Ca
0.335 0.665 0.000 Ca
0.665 0.335 0.000 Ca
0.500 0.500 0.500 Tm
0.167 0.833 0.500 Pa
0.833 0.167 0.500 Pa
0.085 0.428 0.285 N
0.229 0.229 0.718 N
0.428 0.085 0.285 N
0.572 0.915 0.715 N
0.771 0.771 0.282 N
0.915 0.572 0.715 N
```

As for the total DFT energy (no corrections): -0.5983 Ry/atom. Its energy relative to the elements, uncorrected is -1.52 eV per atom. Its size of the total moment is 0.00 μB per formula unit.


No. 3
Density functional theory data (PBE-GGA) for a geometry-optimized Rb3AlGa4 structure.

```
Rb3AlGa4
1.0
9.232 0.000 0.000
0.000 8.243 0.000
-0.023 0.000 16.072
Rb Al Ga
12 4 16
Direct
0.003 0.134 0.129 Rb
0.003 0.366 0.629 Rb
0.251 0.642 0.141 Rb
0.251 0.858 0.641 Rb
0.497 0.135 0.128 Rb
0.497 0.365 0.628 Rb
0.503 0.635 0.372 Rb
0.503 0.865 0.872 Rb
0.749 0.142 0.359 Rb
0.749 0.358 0.859 Rb
0.997 0.634 0.371 Rb
0.997 0.866 0.871 Rb
0.250 0.514 0.819 Al
0.250 0.986 0.319 Al
0.750 0.014 0.681 Al
0.750 0.486 0.181 Al
0.100 0.041 0.451 Ga
0.100 0.459 0.951 Ga
0.250 0.193 0.954 Ga
0.250 0.307 0.454 Ga
0.252 0.198 0.795 Ga
0.252 0.302 0.295 Ga
0.400 0.042 0.451 Ga
0.400 0.458 0.951 Ga
0.600 0.542 0.049 Ga
0.600 0.958 0.549 Ga
0.748 0.698 0.705 Ga
0.748 0.802 0.205 Ga
0.750 0.693 0.546 Ga
0.750 0.807 0.046 Ga
0.900 0.541 0.049 Ga
0.900 0.959 0.549 Ga
```

As for the total DFT energy (no corrections): -0.1696 Ry/atom. The energy of formation is 0.037 eV per atom. Its size of the total moment is 0.00 μB per formula unit.


No. 4
Density functional theory data (PBE-GGA) for a geometry-optimized SmH3Pd5 structure.

```
SmH3Pd5
1.0
5.103 -3.020 0.000
5.103 3.020 0.000
-4.767 0.000 7.365
Sm H Pd
2 6 10
Direct
0.228 0.228 0.315 Sm
0.772 0.772 0.685 Sm
0.000 0.000 0.000 H
0.108 0.108 0.747 H
0.463 0.463 0.792 H
0.500 0.500 0.500 H
0.537 0.537 0.208 H
0.892 0.892 0.253 H
0.242 0.242 0.996 Pd
0.244 0.244 0.661 Pd
0.263 0.729 0.333 Pd
0.271 0.737 0.667 Pd
0.282 0.718 0.000 Pd
0.718 0.282 0.000 Pd
0.729 0.263 0.333 Pd
0.737 0.271 0.667 Pd
0.756 0.756 0.339 Pd
0.758 0.758 0.004 Pd
```

As for the total DFT energy (no corrections): -0.3613 Ry/atom. Its size of the total moment is 0.00 μB per formula unit.


No. 5
Density functional theory data (PBE-GGA) for a geometry-optimized CaAlPb2 structure.

```
CaAlPb2
1.0
4.875 0.000 0.000
0.000 4.875 0.000
0.000 0.000 4.551
Ca Al Pb
1 1 2
Direct
0.000 0.000 0.000 Ca
0.500 0.500 0.000 Al
0.000 0.500 0.500 Pb
0.500 0.000 0.500 Pb
```

As for the total DFT energy (no corrections): -0.2555 Ry/atom. The energy of formation is -0.187 eV per atom. Its size of the total moment is 0.00 μB per formula unit.


No. 6
Density functional theory data (PBE-GGA) for a geometry-optimized CSe2 structure.

```
CSe2
1.0
4.758 0.000 0.000
-2.379 4.120 0.000
0.000 0.000 2.639
C Se
1 2
Direct
0.000 0.000 0.000 C
0.333 0.667 0.500 Se
0.667 0.333 0.500 Se
```

As for the total DFT energy (no corrections): -0.2317 Ry/atom. Its energy relative to the elements, uncorrected is 2.25 eV per atom. Its size of the total moment is 0.68 μB per formula unit.


No. 7
Density functional theory data (PBE-GGA) for a geometry-optimized YPaGa2 structure.

```
YPaGa2
1.0
3.299 0.000 0.000
0.000 3.299 0.000
0.000 0.000 8.146
Y Pa Ga
1 1 2
Direct
0.000 0.000 0.000 Y
0.000 0.000 0.500 Pa
0.500 0.500 0.249 Ga
0.500 0.500 0.751 Ga
```

As for the total DFT energy (no corrections): -0.4336 Ry/atom. The energy of formation is -0.396 eV per atom. Its size of the total moment is 0.00 μB per formula unit.


No. 8
Density functional theory data (PBE-GGA) for a geometry-optimized LaGaOs structure.

```
LaGaOs
1.0
4.320 0.000 0.000
-2.160 3.742 0.000
0.000 0.000 4.203
La Ga Os
1 1 1
Direct
0.000 0.000 0.000 La
0.333 0.667 0.500 Ga
0.667 0.333 0.500 Os
```

As for the total DFT energy (no corrections): -0.4876 Ry/atom. The energy of formation is -0.240 eV per atom. Its size of the total moment is 0.00 μB per formula unit.


No. 9
Density functional theory data (PBE-GGA) for a geometry-optimized TbPa3Se6 structure.

```
TbPa3Se6
1.0
6.957 0.000 0.000
0.000 7.810 0.000
-6.848 0.000 9.527
Tb Pa Se
2 6 12
Direct
0.000 0.000 0.000 Tb
0.000 0.500 0.500 Tb
0.296 0.126 0.751 Pa
0.296 0.374 0.251 Pa
0.500 0.000 0.500 Pa
0.500 0.500 0.000 Pa
0.704 0.626 0.749 Pa
0.704 0.874 0.249 Pa
0.048 0.082 0.251 Se
0.048 0.418 0.751 Se
0.224 0.674 0.069 Se
0.224 0.826 0.569 Se
0.415 0.172 0.070 Se
0.415 0.328 0.570 Se
0.585 0.672 0.430 Se
0.585 0.828 0.930 Se
0.776 0.174 0.431 Se
0.776 0.326 0.931 Se
0.952 0.582 0.249 Se
0.952 0.918 0.749 Se
```

As for the total DFT energy (no corrections): -0.4942 Ry/atom. Its energy relative to the elements, uncorrected is -1.32 eV per atom. Its size of the total moment is 3.95 μB per formula unit.


No. 10
Density functional theory data (PBE-GGA) for a geometry-optimized CaSc2Cr structure.

```
CaSc2Cr
1.0
3.458 0.000 0.000
0.000 5.340 0.000
0.000 0.000 10.582
Ca Sc Cr
2 4 2
Direct
0.000 0.000 0.000 Ca
0.500 0.500 0.500 Ca
0.000 0.500 0.211 Sc
0.000 0.500 0.789 Sc
0.500 0.000 0.289 Sc
0.500 0.000 0.711 Sc
0.000 0.000 0.500 Cr
0.500 0.500 0.000 Cr
```

As for the total DFT energy (no corrections): -0.4227 Ry/atom. The energy of formation is 0.321 eV per atom. Its size of the total moment is 2.98 μB per formula unit.